A relaxed structure of Tb8Y2Tl. Source: the Alexandria database, functional PBE.

Structure (CIF):
```
data_Tb8Y2Tl
_chemical_formula_sum 'Tb16 Y4 Tl2'
_symmetry_space_group_name_H-M 'C 1 2/m 1'
_symmetry_Int_Tables_number 12
_cell_length_a 17.239
_cell_length_b 5.361
_cell_length_c 8.296
_cell_angle_alpha 90.00
_cell_angle_beta 115.26
_cell_angle_gamma 90.00
loop_
_symmetry_equiv_pos_as_xyz
'x,y,z'
'-x,-y,-z'
'-x,y,-z'
'x,-y,z'
'x+1/2,y+1/2,z'
'-x+1/2,-y+1/2,-z'
'-x+1/2,y+1/2,-z'
'x+1/2,-y+1/2,z'
loop_
_atom_site_label
_atom_site_type_symbol
_atom_site_fract_x
_atom_site_fract_y
_atom_site_fract_z
Tb1 Tb 0.021 0.000 0.228
Tb2 Tb 0.103 0.500 0.932
Tb3 Tb 0.160 0.000 0.702
Tb4 Tb 0.170 0.500 0.406
Y1 Y 0.200 0.000 0.147
Tl1 Tl 0.000 0.500 0.500
```

Magnetic moment ... 0.0 μB/f.u.
Uncorrected energy ... -104.14 eV for the cell shown
Energy of formation from the pure elements ... 0.02 eV/atom